Here is a geometry-optimized Tm3ZnS6 structure from Alexandria via LeMat-Bulk. Energies are from PBE.

For the uncorrected formation energy, the calculation gives -1.599 eV/atom.

Structure (CIF):
```
data_Tm3ZnS6
_chemical_formula_sum 'Tm12 Zn4 S24'
_symmetry_space_group_name_H-M 'C m c 21'
_symmetry_Int_Tables_number 36
_symmetry_space_group_name_Hall 'C 2c -2'
_cell_length_a 10.6550
_cell_length_b 13.3105
_cell_length_c 6.2489
_cell_angle_alpha 90.00
_cell_angle_beta 90.00
_cell_angle_gamma 90.00
loop_
_atom_site_label
_atom_site_type_symbol
_atom_site_fract_x
_atom_site_fract_y
_atom_site_fract_z
Tm1 Tm 0.0000 0.1099 0.0000
Tm2 Tm 0.1790 0.3951 0.9237
Zn1 Zn 0.0000 0.3013 0.3770
S1 S 0.0000 0.2786 0.7410
S2 S 0.0000 0.4650 0.2257
S3 S 0.1616 0.0212 0.7122
S4 S 0.1719 0.2330 0.1945
```